# 1
A geometry-optimized Dy2YCd structure. Source: the Alexandria database, functional PBE-GGA.

a = 3.9744 Å, b = 5.3855 Å, c = 5.3855 Å
α = 90.00°, β = 90.00°, γ = 90.00°
With the nearest neighbours (Å) after each atom.
Positions (direct):
Dy1 0.0000 0.5000 0.0000  4 Cd 3.35, 4 Y 3.35
Dy2 0.0000 0.0000 0.5000  4 Cd 3.35, 4 Y 3.35
Cd1 0.5000 0.0000 0.0000  8 Dy 3.35
Y1 0.5000 0.5000 0.5000  8 Dy 3.35

Values from the calculation:
Crystal system = tetragonal
ΔE_f = -0.048 eV/atom
SG = P4/mmm, No. 123
Density = 7.58 g/cm3

---

# 2
A geometry-optimized DyY4Cd5 structure. Source: the Alexandria database, functional PBE-GGA.

a = 3.7469 Å, b = 3.7469 Å, c = 18.7782 Å
α = 90.00°, β = 90.00°, γ = 90.00°
With the nearest neighbours (Å) after each atom.
Positions (direct):
Y1 0.0000 0.0000 0.8005  8 Cd 3.25
Y2 0.0000 0.0000 0.1995  8 Cd 3.25
Cd1 0.5000 0.5000 0.5000  8 Y 3.25
Y3 0.0000 0.0000 0.3999  8 Cd 3.25
Cd2 0.5000 0.5000 0.7002  8 Y 3.25
Cd3 0.5000 0.5000 0.2998  8 Y 3.25
Dy1 0.0000 0.0000 0.0000  8 Cd 3.24
Y4 0.0000 0.0000 0.6001  8 Cd 3.25
Cd4 0.5000 0.5000 0.9006  4 Dy 3.24, 4 Y 3.25
Cd5 0.5000 0.5000 0.0994  4 Dy 3.24, 4 Y 3.25

Values from the calculation:
Crystal system = tetragonal
ΔE_f = -0.347 eV/atom
SG = P4/mmm, No. 123
Density = 6.80 g/cm3

---

# 3
A geometry-optimized Dy6YCd2 structure. Source: the Alexandria database, functional PBE-GGA.

a = 3.7397 Å, b = 6.5725 Å, c = 11.6362 Å
α = 75.57°, β = 80.75°, γ = 73.47°
With the nearest neighbours (Å) after each atom.
Positions (direct):
Dy1 0.0147 0.3098 0.6609  2 Cd 3.20, 7 Dy 3.50-3.56
Dy2 0.6877 0.2083 0.4164  2 Cd 3.26, 8 Dy 3.45-3.56
Dy3 0.3138 0.4959 0.8765  2 Cd 3.22, 5 Dy 3.41-3.50
Cd1 0.3542 0.0825 0.2091  2 Y 3.17, 6 Dy 3.20-3.26
Dy4 0.9853 0.6902 0.3391  2 Cd 3.20, 7 Dy 3.50-3.56
Y1 0.0000 0.0000 0.0000  4 Cd 3.17
Cd2 0.6458 0.9175 0.7909  2 Y 3.17, 6 Dy 3.20-3.26
Dy5 0.6862 0.5041 0.1235  2 Cd 3.22, 5 Dy 3.41-3.50
Dy6 0.3123 0.7917 0.5836  2 Cd 3.26, 8 Dy 3.45-3.56

Values from the calculation:
Crystal system = monoclinic
ΔE_f = -0.134 eV/atom
SG = C2/m, No. 12
Density = 8.10 g/cm3